1.
Below is crystalline HfSn at its relaxed geometry, with properties calculated at the PBE level.

Computed properties:
- Magnetization: 0.001 μB/cell
- V: 280 Å³ per cell
- Energy: -6.217 eV per atom

abc: 6.539 6.539 6.539
angles: 90.00 90.00 90.00
Space group F-43m (No. 216)
Asymmetric unit:
Hf: 0.000 0.000 0.000 x4
Sn: 0.250 0.250 0.750 x4

2.
Below is crystalline HfSn at its relaxed geometry, with properties calculated at the PBE level.

Computed properties:
- Magnetization: 0.000 μB/cell
- V: 45 Å³ per cell
- Energy: -7.257 eV per atom

abc: 3.2411 3.2411 4.9068
angles: 90.00 90.00 120.00
Space group P-6m2 (No. 187)
Asymmetric unit:
Hf: 0.0000 0.0000 0.0000 x1
Sn: 0.6667 0.3333 0.5000 x1

3.
Below is crystalline Hf3Sn7 at its relaxed geometry, with properties calculated at the PBE level.

Computed properties:
- Magnetization: 0.030 μB/cell
- Distance to the lowest polymorph of the same formula: 70 meV/atom
- V: 473 Å³ per cell
- Energy: -5.828 eV per atom

abc: 4.311 25.933 4.226
angles: 90.00 90.00 90.00
Space group Cmmm (No. 65)
Asymmetric unit:
Hf: 0.000 0.000 0.000 x2
Hf: 0.000 0.191 0.000 x4
Sn: 0.000 0.099 0.500 x4
Sn: 0.000 0.291 0.500 x4
Sn: 0.000 0.400 0.000 x4
Sn: 0.000 0.500 0.500 x2

4.
Below is crystalline HfSn at its relaxed geometry, with properties calculated at the PBE level.

Computed properties:
- Magnetization: 0.000 μB/cell
- V: 196 Å³ per cell
- Energy: -7.098 eV per atom

abc: 5.805 5.805 5.805
angles: 90.00 90.00 90.00
Space group Fm-3m (No. 225)
Asymmetric unit:
Hf: 0.000 0.000 0.000 x4
Sn: 0.000 0.000 0.500 x4

5.
Below is crystalline Hf3Sn7 at its relaxed geometry, with properties calculated at the PBE level.

Computed properties:
- Magnetization: 0.000 μB/cell
- Distance to the lowest polymorph of the same formula: 0 meV/atom
- V: 467 Å³ per cell
- Energy: -5.898 eV per atom

abc: 4.361 25.205 4.250
angles: 90.00 90.00 90.00
Space group Cmmm (No. 65)
Asymmetric unit:
Hf: 0.000 0.000 0.000 x2
Hf: 0.000 0.310 0.500 x4
Sn: 0.000 0.099 0.500 x4
Sn: 0.000 0.208 0.000 x4
Sn: 0.000 0.401 0.000 x4
Sn: 0.000 0.500 0.500 x2

6.
Below is crystalline HfSn at its relaxed geometry, with properties calculated at the PBE level.

Computed properties:
- Magnetization: 0.001 μB/cell
- V: 201 Å³ per cell
- Energy: -7.115 eV per atom

abc: 6.915 4.153 6.993
angles: 90.00 90.00 90.00
Space group Pnma (No. 62)
Asymmetric unit:
Hf: 0.000 0.250 0.250 x4
Sn: 0.250 0.250 0.588 x4

7.
Below is crystalline SrHfSn at its relaxed geometry, with properties calculated at the PBE level.

Computed properties:
- Magnetization: 0.460 μB/cell
- Distance to the lowest polymorph of the same formula: 739 meV/atom
- V: 408 Å³ per cell
- Energy: -4.237 eV per atom

abc: 7.415 7.415 7.415
angles: 90.00 90.00 90.00
Space group F-43m (No. 216)
Asymmetric unit:
Sr: 0.000 0.000 0.000 x4
Hf: 0.250 0.250 0.750 x4
Sn: 0.250 0.250 0.250 x4

8.
Below is crystalline SrHfSn at its relaxed geometry, with properties calculated at the PBE level.

Computed properties:
- Magnetization: 3.979 μB/cell
- Distance to the lowest polymorph of the same formula: 0 meV/atom
- V: 383 Å³ per cell
- Energy: -4.976 eV per atom

abc: 7.262 7.262 7.262
angles: 90.00 90.00 90.00
Space group F-43m (No. 216)
Asymmetric unit:
Sr: 0.000 0.000 0.000 x4
Hf: 0.000 0.000 0.500 x4
Sn: 0.250 0.250 0.750 x4

9.
Below is crystalline HfTaSn2 at its relaxed geometry, with properties calculated at the PBE level.

Computed properties:
- Magnetization: 1.359 μB/cell
- V: 347 Å³ per cell
- Energy: -7.072 eV per atom

abc: 7.028 7.028 7.028
angles: 90.00 90.00 90.00
Space group F-43m (No. 216)
Asymmetric unit:
Hf: 0.000 0.000 0.000 x4
Ta: 0.250 0.250 0.750 x4
Sn: 0.000 0.000 0.500 x4
Sn: 0.250 0.250 0.250 x4

10.
Below is crystalline HfTa2Sn2 at its relaxed geometry, with properties calculated at the PBE level.

Computed properties:
- Magnetization: 0.005 μB/cell
- Distance to the lowest polymorph of the same formula: 0 meV/atom
- V: 215 Å³ per cell
- Energy: -8.140 eV per atom

abc: 4.019 4.019 13.339
angles: 90.00 90.00 90.00
Space group I4/mmm (No. 139)
Asymmetric unit:
Hf: 0.000 0.000 0.000 x2
Ta: 0.000 0.500 0.250 x4
Sn: 0.000 0.000 0.399 x4

11.
Below is crystalline Hf2TaSn at its relaxed geometry, with properties calculated at the PBE level.

Computed properties:
- Magnetization: 0.021 μB/cell
- V: 327 Å³ per cell
- Energy: -8.856 eV per atom

abc: 6.889 6.889 6.889
angles: 90.00 90.00 90.00
Space group F-43m (No. 216)
Asymmetric unit:
Hf: 0.000 0.000 0.000 x4
Hf: 0.250 0.250 0.250 x4
Ta: 0.250 0.250 0.750 x4
Sn: 0.000 0.000 0.500 x4

12.
Below is crystalline HfTaSn at its relaxed geometry, with properties calculated at the PBE level.

Computed properties:
- Magnetization: 0.037 μB/cell
- V: 282 Å³ per cell
- Energy: -8.151 eV per atom

abc: 6.559 6.559 6.559
angles: 90.00 90.00 90.00
Space group F-43m (No. 216)
Asymmetric unit:
Hf: 0.000 0.000 0.000 x4
Ta: 0.000 0.000 0.500 x4
Sn: 0.250 0.250 0.250 x4

13.
Below is crystalline Hf2TcSn at its relaxed geometry, with properties calculated at the PBE level.

Computed properties:
- Magnetization: 0.019 μB/cell
- V: 306 Å³ per cell
- Energy: -8.669 eV per atom

abc: 6.737 6.737 6.737
angles: 90.00 90.00 90.00
Space group F-43m (No. 216)
Asymmetric unit:
Hf: 0.000 0.000 0.000 x4
Hf: 0.250 0.250 0.250 x4
Tc: 0.250 0.250 0.750 x4
Sn: 0.000 0.000 0.500 x4

14.
Below is crystalline Hf2TcSn2 at its relaxed geometry, with properties calculated at the PBE level.

Computed properties:
- Magnetization: 0.007 μB/cell
- V: 222 Å³ per cell
- Energy: -7.271 eV per atom

abc: 3.788 3.788 15.442
angles: 90.00 90.00 90.00
Space group I4/mmm (No. 139)
Asymmetric unit:
Hf: 0.000 0.000 0.094 x4
Tc: 0.000 0.000 0.500 x2
Sn: 0.000 0.500 0.250 x4

15.
Below is crystalline HfTcSn at its relaxed geometry, with properties calculated at the PBE level.

Computed properties:
- Magnetization: 0.008 μB/cell
- Distance to the lowest polymorph of the same formula: 0 meV/atom
- V: 261 Å³ per cell
- Energy: -8.110 eV per atom

abc: 6.394 6.394 6.394
angles: 90.00 90.00 90.00
Space group F-43m (No. 216)
Asymmetric unit:
Hf: 0.000 0.000 0.000 x4
Tc: 0.250 0.250 0.250 x4
Sn: 0.000 0.000 0.500 x4

16.
Below is crystalline HfTcSn at its relaxed geometry, with properties calculated at the PBE level.

Computed properties:
- Magnetization: 0.001 μB/cell
- Distance to the lowest polymorph of the same formula: 530 meV/atom
- V: 274 Å³ per cell
- Energy: -7.580 eV per atom

abc: 6.494 6.494 6.494
angles: 90.00 90.00 90.00
Space group F-43m (No. 216)
Asymmetric unit:
Hf: 0.000 0.000 0.000 x4
Tc: 0.250 0.250 0.250 x4
Sn: 0.250 0.250 0.750 x4

17.
Below is crystalline HfSnTe at its relaxed geometry, with properties calculated at the PBE level.

Computed properties:
- Magnetization: 0.014 μB/cell
- V: 338 Å³ per cell
- Energy: -5.366 eV per atom

abc: 6.969 6.969 6.969
angles: 90.00 90.00 90.00
Space group F-43m (No. 216)
Asymmetric unit:
Hf: 0.000 0.000 0.000 x4
Sn: 0.000 0.000 0.500 x4
Te: 0.250 0.250 0.250 x4

18.
Below is crystalline HfSnTe at its relaxed geometry, with properties calculated at the PBE level.

Computed properties:
- Magnetization: 0.006 μB/cell
- V: 343 Å³ per cell
- Energy: -5.680 eV per atom

abc: 7.000 7.000 7.000
angles: 90.00 90.00 90.00
Space group F-43m (No. 216)
Asymmetric unit:
Hf: 0.000 0.000 0.000 x4
Sn: 0.250 0.250 0.750 x4
Te: 0.250 0.250 0.250 x4

19.
Below is crystalline HfSnTe2 at its relaxed geometry, with properties calculated at the PBE level.

Computed properties:
- Magnetization: 0.153 μB/cell
- V: 409 Å³ per cell
- Energy: -4.829 eV per atom

abc: 7.422 7.422 7.422
angles: 90.00 90.00 90.00
Space group F-43m (No. 216)
Asymmetric unit:
Hf: 0.000 0.000 0.000 x4
Sn: 0.250 0.250 0.750 x4
Te: 0.000 0.000 0.500 x4
Te: 0.250 0.250 0.250 x4

20.
Below is crystalline Hf2SnTe2 at its relaxed geometry, with properties calculated at the PBE level.

Computed properties:
- Magnetization: 0.003 μB/cell
- V: 274 Å³ per cell
- Energy: -6.133 eV per atom

abc: 5.103 5.103 10.532
angles: 90.00 90.00 90.00
Space group I4/mmm (No. 139)
Asymmetric unit:
Hf: 0.000 0.500 0.250 x4
Sn: 0.000 0.000 0.000 x2
Te: 0.000 0.000 0.356 x4

21.
Below is crystalline HfTl2Sn at its relaxed geometry, with properties calculated at the PBE level.

Computed properties:
- Magnetization: 0.063 μB/cell
- V: 415 Å³ per cell
- Energy: -4.317 eV per atom

abc: 7.458 7.458 7.458
angles: 90.00 90.00 90.00
Space group F-43m (No. 216)
Asymmetric unit:
Hf: 0.000 0.000 0.000 x4
Tl: 0.000 0.000 0.500 x4
Tl: 0.250 0.250 0.250 x4
Sn: 0.250 0.250 0.750 x4

22.
Below is crystalline HfTlSn at its relaxed geometry, with properties calculated at the PBE level.

Computed properties:
- Magnetization: 0.014 μB/cell
- Distance to the lowest polymorph of the same formula: 0 meV/atom
- V: 336 Å³ per cell
- Energy: -5.148 eV per atom

abc: 6.955 6.955 6.955
angles: 90.00 90.00 90.00
Space group F-43m (No. 216)
Asymmetric unit:
Hf: 0.000 0.000 0.000 x4
Tl: 0.250 0.250 0.250 x4
Sn: 0.250 0.250 0.750 x4

23.
Below is crystalline HfTlSn at its relaxed geometry, with properties calculated at the PBE level.

Computed properties:
- Magnetization: 0.332 μB/cell
- Distance to the lowest polymorph of the same formula: 258 meV/atom
- V: 345 Å³ per cell
- Energy: -4.890 eV per atom

abc: 7.013 7.013 7.013
angles: 90.00 90.00 90.00
Space group F-43m (No. 216)
Asymmetric unit:
Hf: 0.000 0.000 0.000 x4
Tl: 0.000 0.000 0.500 x4
Sn: 0.250 0.250 0.250 x4

24.
Below is crystalline TmHfSn at its relaxed geometry, with properties calculated at the PBE level.

Computed properties:
- Magnetization: 2.441 μB/cell
- V: 355 Å³ per cell
- Energy: -5.534 eV per atom

abc: 7.079 7.079 7.079
angles: 90.00 90.00 90.00
Space group F-43m (No. 216)
Asymmetric unit:
Tm: 0.000 0.000 0.000 x4
Hf: 0.250 0.250 0.750 x4
Sn: 0.250 0.250 0.250 x4

25.
Below is crystalline HfSn2W at its relaxed geometry, with properties calculated at the PBE level.

Computed properties:
- Magnetization: 4.665 μB/cell
- V: 332 Å³ per cell
- Energy: -7.244 eV per atom

abc: 6.927 6.927 6.927
angles: 90.00 90.00 90.00
Space group F-43m (No. 216)
Asymmetric unit:
Hf: 0.000 0.000 0.000 x4
Sn: 0.000 0.000 0.500 x4
Sn: 0.250 0.250 0.250 x4
W: 0.250 0.250 0.750 x4

26.
Below is crystalline HfSnW at its relaxed geometry, with properties calculated at the PBE level.

Computed properties:
- Magnetization: 0.101 μB/cell
- Distance to the lowest polymorph of the same formula: 0 meV/atom
- V: 278 Å³ per cell
- Energy: -8.348 eV per atom

abc: 6.526 6.526 6.526
angles: 90.00 90.00 90.00
Space group F-43m (No. 216)
Asymmetric unit:
Hf: 0.000 0.000 0.000 x4
Sn: 0.000 0.000 0.500 x4
W: 0.250 0.250 0.250 x4

27.
Below is crystalline Hf2SnW at its relaxed geometry, with properties calculated at the PBE level.

Computed properties:
- Magnetization: 0.004 μB/cell
- V: 313 Å³ per cell
- Energy: -9.072 eV per atom

abc: 6.793 6.793 6.793
angles: 90.00 90.00 90.00
Space group F-43m (No. 216)
Asymmetric unit:
Hf: 0.000 0.000 0.000 x4
Hf: 0.250 0.250 0.250 x4
Sn: 0.000 0.000 0.500 x4
W: 0.250 0.250 0.750 x4

28.
Below is crystalline Y2HfSn at its relaxed geometry, with properties calculated at the PBE level.

Computed properties:
- Magnetization: 0.041 μB/cell
- V: 403 Å³ per cell
- Energy: -6.798 eV per atom

abc: 7.389 7.389 7.389
angles: 90.00 90.00 90.00
Space group F-43m (No. 216)
Asymmetric unit:
Y: 0.000 0.000 0.000 x4
Y: 0.250 0.250 0.250 x4
Hf: 0.250 0.250 0.750 x4
Sn: 0.000 0.000 0.500 x4

29.
Below is crystalline YHfSn at its relaxed geometry, with properties calculated at the PBE level.

Computed properties:
- Magnetization: 0.015 μB/cell
- Distance to the lowest polymorph of the same formula: 513 meV/atom
- V: 337 Å³ per cell
- Energy: -6.848 eV per atom

abc: 6.956 6.956 6.956
angles: 90.00 90.00 90.00
Space group F-43m (No. 216)
Asymmetric unit:
Y: 0.000 0.000 0.000 x4
Hf: 0.000 0.000 0.500 x4
Sn: 0.250 0.250 0.750 x4

30.
Below is crystalline YHfSn at its relaxed geometry, with properties calculated at the PBE level.

Computed properties:
- Magnetization: 0.005 μB/cell
- Distance to the lowest polymorph of the same formula: 0 meV/atom
- V: 155 Å³ per cell
- Energy: -7.361 eV per atom

abc: 4.353 4.353 8.164
angles: 90.00 90.00 90.00
Space group P4/nmm (No. 129, origin choice 2)
Asymmetric unit:
Y: 0.250 0.250 0.162 x2
Hf: 0.250 0.750 0.500 x2
Sn: 0.250 0.250 0.766 x2

31.
Below is crystalline YHfSn2 at its relaxed geometry, with properties calculated at the PBE level.

Computed properties:
- Magnetization: 0.215 μB/cell
- V: 401 Å³ per cell
- Energy: -5.988 eV per atom

abc: 7.377 7.377 7.377
angles: 90.00 90.00 90.00
Space group F-43m (No. 216)
Asymmetric unit:
Y: 0.000 0.000 0.000 x4
Hf: 0.250 0.250 0.250 x4
Sn: 0.000 0.000 0.500 x4
Sn: 0.250 0.250 0.750 x4